Compound: NaTbZnSe3
Source: Alexandria
Functional: PBE-GGA
Structure: optimized geometry

```
data_NaTbZnSe3
_space_group_name_H-M_alt 'P 1 21/m 1'
_space_group_IT_number 11
_cell_length_a 8.4007
_cell_length_b 4.1094
_cell_length_c 10.1033
_cell_angle_alpha 90.00
_cell_angle_beta 106.02
_cell_angle_gamma 90.00
loop_
_space_group_symop_operation_xyz
'x,y,z'
'-x,-y,-z'
'-x,y+1/2,-z'
'x,-y+1/2,z'
loop_
_atom_site_label
_atom_site_fract_x
_atom_site_fract_y
_atom_site_fract_z
Na1 0.1890 0.2500 0.1762
Tb1 0.3273 0.7500 0.8513
Zn1 0.0801 0.2500 0.6026
Se1 0.0822 0.2500 0.8475
Se2 0.2216 0.7500 0.5432
Se3 0.4356 0.7500 0.1478
```

Computed properties:
* calculated total energy: -51.11 eV per cell
* E_form (uncorrected): -1.31 eV per atom